# 1
# MgZnCu2

A geometry-optimized MgZnCu2 structure (GGA-PBEsol, the Alexandria database).

Lattice parameters (Å, degrees): 3.5763 3.7933 7.8547 90.00 90.00 90.00
Closest atoms and distances in Å follow each position.
Fractional coordinates of all 8 atoms:
Mg (0.0000, 0.0000, 0.0000)  8 Cu 2.61-2.71, 4 Zn 2.69-2.70
Mg (0.5000, 0.5000, 0.5000)  8 Cu 2.61-2.71, 4 Zn 2.69-2.70
Zn (0.0000, 0.5000, 0.7554)  8 Cu 2.61-2.76, 4 Mg 2.69-2.70
Zn (0.5000, 0.0000, 0.2554)  8 Cu 2.61-2.76, 4 Mg 2.69-2.70
Cu (0.0000, 0.0000, 0.5010)  4 Mg 2.61, 4 Cu 2.63-2.76, 4 Zn 2.63-2.76
Cu (0.0000, 0.5000, 0.2461)  4 Zn 2.61, 4 Cu 2.63-2.76, 4 Mg 2.68-2.71
Cu (0.5000, 0.0000, 0.7461)  4 Zn 2.61, 4 Cu 2.63-2.76, 4 Mg 2.68-2.71
Cu (0.5000, 0.5000, 0.0010)  4 Mg 2.61, 4 Cu 2.63-2.76, 4 Zn 2.63-2.76

Results
* M_tot: 0.0 μB per formula unit
* uncorrected energy: -3.07 eV per atom
* energy of formation from the pure elements: -0.3 eV/f.u.
* ρ: 6.76 Mg/m³

# 2
# MgZn2Cu

A geometry-optimized MgZn2Cu structure (GGA-PBEsol, the Alexandria database).

Lattice parameters (Å, degrees): 9.3909 3.1588 4.2797 90.00 115.14 90.00
Closest atoms and distances in Å follow each position.
Fractional coordinates of all 8 atoms:
Mg (0.0000, 0.0000, 0.0000)  4 Cu 2.66, 8 Zn 2.79-2.94
Mg (0.5000, 0.5000, 0.0000)  4 Cu 2.66, 8 Zn 2.79-2.94
Zn (0.2295, 0.0000, 0.7279)  2 Cu 2.51, 4 Zn 2.66-2.70, 2 Mg 2.79
Zn (0.2705, 0.5000, 0.2721)  2 Cu 2.51, 4 Zn 2.66-2.70, 2 Mg 2.79
Zn (0.7295, 0.5000, 0.7279)  2 Cu 2.51, 4 Zn 2.66-2.70, 2 Mg 2.79
Zn (0.7705, 0.0000, 0.2721)  2 Cu 2.51, 4 Zn 2.66-2.70, 2 Mg 2.79
Cu (0.0000, 0.5000, 0.5000)  4 Zn 2.51, 4 Mg 2.66
Cu (0.5000, 0.0000, 0.5000)  4 Zn 2.51, 4 Mg 2.66

Results
* M_tot: 0.0 μB per formula unit
* uncorrected energy: -2.37 eV per atom
* energy of formation from the pure elements: -0.3 eV/f.u.
* ρ: 6.32 Mg/m³

# 3
# MgZn2Cu

A geometry-optimized MgZn2Cu structure (GGA-PBEsol, the Alexandria database).

Lattice parameters (Å, degrees): 3.8559 3.8559 7.6683 90.00 90.00 90.00
Closest atoms and distances in Å follow each position.
Fractional coordinates of all 8 atoms:
Mg (0.0000, 0.0000, 0.0000)  8 Zn 2.72, 4 Cu 2.73
Mg (0.5000, 0.5000, 0.5000)  8 Zn 2.72, 4 Cu 2.73
Zn (0.0000, 0.5000, 0.2500)  4 Mg 2.72, 4 Cu 2.72, 4 Zn 2.73
Zn (0.0000, 0.5000, 0.7500)  4 Mg 2.72, 4 Cu 2.72, 4 Zn 2.73
Zn (0.5000, 0.0000, 0.2500)  4 Mg 2.72, 4 Cu 2.72, 4 Zn 2.73
Zn (0.5000, 0.0000, 0.7500)  4 Mg 2.72, 4 Cu 2.72, 4 Zn 2.73
Cu (0.0000, 0.0000, 0.5000)  8 Zn 2.72, 4 Mg 2.73
Cu (0.5000, 0.5000, 0.0000)  8 Zn 2.72, 4 Mg 2.73

Results
* M_tot: 0.0 μB per formula unit
* uncorrected energy: -2.36 eV per atom
* energy of formation from the pure elements: -0.2 eV/f.u.
* ρ: 6.37 Mg/m³

# 4
# MgZnCu

A geometry-optimized MgZnCu structure (GGA-PBEsol, the Alexandria database).

Lattice parameters (Å, degrees): 4.2679 4.2679 2.8118 90.00 90.00 120.00
Closest atoms and distances in Å follow each position.
Fractional coordinates of all 3 atoms:
Mg (0.0000, 0.0000, 0.0000)  2 Mg 2.81, 6 Cu 2.84, 6 Zn 2.84
Zn (0.6667, 0.3333, 0.5000)  3 Cu 2.46
Cu (0.3333, 0.6667, 0.5000)  3 Zn 2.46

Results
* M_tot: 0.0 μB per formula unit
* uncorrected energy: -2.63 eV per atom
* energy of formation from the pure elements: -0.3 eV/f.u.
* ρ: 5.74 Mg/m³

# 5
# Mg2ZnCu2

A geometry-optimized Mg2ZnCu2 structure (GGA-PBEsol, the Alexandria database).

Lattice parameters (Å, degrees): 5.0539 5.0539 7.1883 102.52 102.52 60.34
Closest atoms and distances in Å follow each position.
Fractional coordinates of all 10 atoms:
Mg (0.0183, 0.2908, 0.1500)  6 Cu 2.69-2.78, 3 Zn 2.84-2.99
Mg (0.2908, 0.0183, 0.6500)  6 Cu 2.69-2.78, 3 Zn 2.84-2.99
Mg (0.7092, 0.9817, 0.3500)  6 Cu 2.69-2.78, 3 Zn 2.84-2.99
Mg (0.9817, 0.7092, 0.8500)  6 Cu 2.69-2.78, 3 Zn 2.84-2.99
Zn (0.3152, 0.6848, 0.2500)  4 Cu 2.41-2.44
Zn (0.6848, 0.3152, 0.7500)  4 Cu 2.41-2.44
Cu (0.2362, 0.5063, 0.5074)  2 Cu 2.40-2.66, 2 Zn 2.41-2.44
Cu (0.4937, 0.7638, 0.9926)  2 Cu 2.40-2.66, 2 Zn 2.41-2.44
Cu (0.5063, 0.2362, 0.0074)  2 Cu 2.40-2.66, 2 Zn 2.41-2.44
Cu (0.7638, 0.4937, 0.4926)  2 Cu 2.40-2.66, 2 Zn 2.41-2.44

Results
* M_tot: 0.0 μB per formula unit
* uncorrected energy: -2.85 eV per atom
* energy of formation from the pure elements: -0.6 eV/f.u.
* ρ: 5.18 Mg/m³

# 6
# MgZn2Cu2

A geometry-optimized MgZn2Cu2 structure (GGA-PBEsol, the Alexandria database).

Lattice parameters (Å, degrees): 6.6223 6.6223 5.3011 90.00 90.00 144.03
Closest atoms and distances in Å follow each position.
Fractional coordinates of all 10 atoms:
Mg (0.0969, 0.9031, 0.5000)  6 Zn 2.64-2.92, 7 Cu 2.72-2.93
Mg (0.9031, 0.0969, 0.0000)  6 Zn 2.64-2.92, 7 Cu 2.72-2.93
Zn (0.1222, 0.8778, 0.0052)  3 Zn 2.60-2.66, 5 Cu 2.61-2.84, 3 Mg 2.64-2.76
Zn (0.3048, 0.6952, 0.2586)  5 Cu 2.46-2.67, 3 Zn 2.60-2.66
Zn (0.6952, 0.3048, 0.7586)  5 Cu 2.46-2.67, 3 Zn 2.60-2.66
Zn (0.8778, 0.1222, 0.5052)  3 Zn 2.60-2.66, 5 Cu 2.61-2.84, 3 Mg 2.64-2.76
Cu (0.3034, 0.6966, 0.7544)  1 Cu 2.45, 7 Zn 2.46-2.67, 2 Mg 2.73
Cu (0.4980, 0.5020, 0.7432)  3 Cu 2.45-2.65, 1 Zn 2.49, 4 Mg 2.72-2.73
Cu (0.5020, 0.4980, 0.2432)  3 Cu 2.45-2.65, 1 Zn 2.49, 4 Mg 2.72-2.73
Cu (0.6966, 0.3034, 0.2544)  1 Cu 2.45, 7 Zn 2.46-2.67, 2 Mg 2.73

Results
* M_tot: 0.0 μB per formula unit
* uncorrected energy: -2.78 eV per atom
* energy of formation from the pure elements: -0.4 eV/f.u.
* ρ: 6.86 Mg/m³

# 7
# MgZn4Cu

A geometry-optimized MgZn4Cu structure (GGA-PBEsol, the Alexandria database).

Lattice parameters (Å, degrees): 8.3807 2.8970 7.1464 90.00 90.00 90.00
Closest atoms and distances in Å follow each position.
Fractional coordinates of all 12 atoms:
Mg (0.2500, 0.0000, 0.0512)  1 Cu 2.63, 10 Zn 2.80-2.90, 2 Mg 2.90
Mg (0.7500, 0.0000, 0.9488)  1 Cu 2.63, 10 Zn 2.80-2.90, 2 Mg 2.90
Zn (0.0000, 0.0000, 0.5000)  2 Cu 2.47, 8 Zn 2.67-2.70
Zn (0.0270, 0.5000, 0.8173)  2 Cu 2.55, 4 Zn 2.65-2.74
Zn (0.2500, 0.5000, 0.3866)  2 Cu 2.56, 6 Zn 2.67-2.74, 2 Mg 2.80
Zn (0.4730, 0.5000, 0.8173)  2 Cu 2.55, 4 Zn 2.65-2.74
Zn (0.5000, 0.0000, 0.5000)  2 Cu 2.47, 8 Zn 2.67-2.70
Zn (0.5270, 0.5000, 0.1827)  2 Cu 2.55, 4 Zn 2.65-2.74
Zn (0.7500, 0.5000, 0.6134)  2 Cu 2.56, 6 Zn 2.67-2.74, 2 Mg 2.80
Zn (0.9730, 0.5000, 0.1827)  2 Cu 2.55, 4 Zn 2.65-2.74
Cu (0.2500, 0.0000, 0.6825)  8 Zn 2.47-2.56, 1 Mg 2.63
Cu (0.7500, 0.0000, 0.3175)  8 Zn 2.47-2.56, 1 Mg 2.63

Results
* M_tot: 0.0 μB per formula unit
* uncorrected energy: -2.13 eV per atom
* energy of formation from the pure elements: -0.4 eV/f.u.
* ρ: 6.69 Mg/m³

# 8
# MgZn3Cu2

A geometry-optimized MgZn3Cu2 structure (GGA-PBEsol, the Alexandria database).

Lattice parameters (Å, degrees): 4.2183 4.2183 10.7345 90.00 90.00 120.00
Closest atoms and distances in Å follow each position.
Fractional coordinates of all 12 atoms:
Mg (0.0000, 0.0000, 0.2500)  8 Zn 2.68-2.87, 6 Cu 2.76
Mg (0.0000, 0.0000, 0.7500)  8 Zn 2.68-2.87, 6 Cu 2.76
Zn (0.0000, 0.0000, 0.0000)  2 Mg 2.68, 6 Zn 2.70, 6 Cu 2.80
Zn (0.0000, 0.0000, 0.5000)  2 Mg 2.68, 6 Zn 2.70, 6 Cu 2.80
Zn (0.3333, 0.6667, 0.1088)  4 Cu 2.44-2.55, 3 Zn 2.70
Zn (0.3333, 0.6667, 0.3912)  4 Cu 2.44-2.55, 3 Zn 2.70
Zn (0.6667, 0.3333, 0.6088)  4 Cu 2.44-2.55, 3 Zn 2.70
Zn (0.6667, 0.3333, 0.8912)  4 Cu 2.44-2.55, 3 Zn 2.70
Cu (0.3333, 0.6667, 0.6284)  4 Zn 2.44-2.55, 1 Cu 2.61
Cu (0.3333, 0.6667, 0.8716)  4 Zn 2.44-2.55, 1 Cu 2.61
Cu (0.6667, 0.3333, 0.1284)  4 Zn 2.44-2.55, 1 Cu 2.61
Cu (0.6667, 0.3333, 0.3716)  4 Zn 2.44-2.55, 1 Cu 2.61

Results
* M_tot: 0.0 μB per formula unit
* uncorrected energy: -2.59 eV per atom
* energy of formation from the pure elements: -0.4 eV/f.u.
* ρ: 6.98 Mg/m³

# 9
# MgZn4Cu8

A geometry-optimized MgZn4Cu8 structure (GGA-PBEsol, the Alexandria database).

Lattice parameters (Å, degrees): 6.8817 6.8817 6.8817 94.06 94.06 149.15
Closest atoms and distances in Å follow each position.
Fractional coordinates of all 13 atoms:
Mg (0.0000, 0.0000, 0.0000)  4 Cu 2.63, 8 Zn 2.70
Zn (0.2918, 0.4628, 0.7546)  8 Cu 2.49-2.63, 2 Mg 2.70
Zn (0.4628, 0.7082, 0.1710)  8 Cu 2.49-2.63, 2 Mg 2.70
Zn (0.5372, 0.2918, 0.8290)  8 Cu 2.49-2.63, 2 Mg 2.70
Zn (0.7082, 0.5372, 0.2454)  8 Cu 2.49-2.63, 2 Mg 2.70
Cu (0.0710, 0.6152, 0.6862)  3 Zn 2.49-2.52, 9 Cu 2.54-2.63
Cu (0.1575, 0.2319, 0.3894)  5 Zn 2.51-2.63, 6 Cu 2.55-2.63, 1 Mg 2.63
Cu (0.2319, 0.8425, 0.0744)  5 Zn 2.51-2.63, 6 Cu 2.55-2.63, 1 Mg 2.63
Cu (0.3848, 0.0710, 0.4558)  3 Zn 2.49-2.52, 9 Cu 2.54-2.63
Cu (0.6152, 0.9290, 0.5442)  3 Zn 2.49-2.52, 9 Cu 2.54-2.63
Cu (0.7681, 0.1575, 0.9256)  5 Zn 2.51-2.63, 6 Cu 2.55-2.63, 1 Mg 2.63
Cu (0.8425, 0.7681, 0.6106)  5 Zn 2.51-2.63, 6 Cu 2.55-2.63, 1 Mg 2.63
Cu (0.9290, 0.3848, 0.3138)  3 Zn 2.49-2.52, 9 Cu 2.54-2.63

Results
* M_tot: 0.0 μB per formula unit
* uncorrected energy: -3.34 eV per atom
* energy of formation from the pure elements: -0.7 eV/f.u.
* ρ: 8.19 Mg/m³

# 10
# MgZn4Cu

A geometry-optimized MgZn4Cu structure (GGA-PBEsol, the Alexandria database).

Lattice parameters (Å, degrees): 4.9671 4.9671 4.9671 60.00 60.00 60.00
Closest atoms and distances in Å follow each position.
Fractional coordinates of all 6 atoms:
Mg (0.0000, 0.0000, 0.0000)  12 Zn 2.91, 4 Cu 3.04
Zn (0.3754, 0.3754, 0.3754)  6 Zn 2.48-2.49
Zn (0.3754, 0.3754, 0.8738)  6 Zn 2.48-2.49
Zn (0.3754, 0.8738, 0.3754)  6 Zn 2.48-2.49
Zn (0.8738, 0.3754, 0.3754)  6 Zn 2.48-2.49
Cu (0.7500, 0.7500, 0.7500)  12 Zn 2.91, 4 Mg 3.04

Results
* M_tot: 0.0 μB per formula unit
* uncorrected energy: -2.10 eV per atom
* energy of formation from the pure elements: -0.2 eV/f.u.
* ρ: 6.70 Mg/m³

# 11
# MgZn4Cu8

A geometry-optimized MgZn4Cu8 structure (GGA-PBEsol, the Alexandria database).

Lattice parameters (Å, degrees): 6.3713 6.3713 6.3713 98.19 98.19 135.64
Closest atoms and distances in Å follow each position.
Fractional coordinates of all 13 atoms:
Mg (0.0000, 0.0000, 0.0000)  12 Cu 2.97-3.00, 8 Zn 3.19
Zn (0.0000, 0.0000, 0.5000)  2 Zn 2.41, 8 Cu 2.43-2.56
Zn (0.0000, 0.5000, 0.0000)  2 Zn 2.41, 8 Cu 2.43-2.56
Zn (0.5000, 0.0000, 0.0000)  2 Zn 2.41, 8 Cu 2.43-2.56
Zn (0.5000, 0.5000, 0.5000)  2 Zn 2.41, 8 Cu 2.43-2.56
Cu (0.0000, 0.3555, 0.3555)  5 Cu 2.41-2.68, 4 Zn 2.56
Cu (0.0000, 0.6445, 0.6445)  5 Cu 2.41-2.68, 4 Zn 2.56
Cu (0.2858, 0.5000, 0.7858)  4 Zn 2.43, 6 Cu 2.53-2.68
Cu (0.3555, 0.0000, 0.3555)  5 Cu 2.41-2.68, 4 Zn 2.56
Cu (0.5000, 0.2858, 0.7858)  4 Zn 2.43, 6 Cu 2.53-2.68
Cu (0.5000, 0.7142, 0.2142)  4 Zn 2.43, 6 Cu 2.53-2.68
Cu (0.6445, 0.0000, 0.6445)  5 Cu 2.41-2.68, 4 Zn 2.56
Cu (0.7142, 0.5000, 0.2142)  4 Zn 2.43, 6 Cu 2.53-2.68

Results
* M_tot: 0.0 μB per formula unit
* uncorrected energy: -3.31 eV per atom
* energy of formation from the pure elements: -0.4 eV/f.u.
* ρ: 7.88 Mg/m³

# 12
# Mg2ZnCu3

A geometry-optimized Mg2ZnCu3 structure (GGA-PBEsol, the Alexandria database).

Lattice parameters (Å, degrees): 4.9058 4.9058 4.9058 60.79 60.79 60.79
Closest atoms and distances in Å follow each position.
Fractional coordinates of all 6 atoms:
Mg (0.1239, 0.1239, 0.1239)  9 Cu 2.88-2.89, 3 Zn 2.91, 4 Mg 2.96-3.04
Mg (0.8761, 0.8761, 0.8761)  9 Cu 2.88-2.89, 3 Zn 2.91, 4 Mg 2.96-3.04
Zn (0.5000, 0.5000, 0.5000)  6 Cu 2.45
Cu (0.0000, 0.5000, 0.5000)  2 Zn 2.45, 4 Cu 2.48
Cu (0.5000, 0.0000, 0.5000)  2 Zn 2.45, 4 Cu 2.48
Cu (0.5000, 0.5000, 0.0000)  2 Zn 2.45, 4 Cu 2.48

Results
* M_tot: 0.0 μB per formula unit
* uncorrected energy: -3.17 eV per atom
* energy of formation from the pure elements: -1.0 eV/f.u.
* ρ: 5.95 Mg/m³

> What is the M_tot in the first record?

0.0 μB per formula unit

Repeat the eighth record exactly.
# MgZn3Cu2

A geometry-optimized MgZn3Cu2 structure (GGA-PBEsol, the Alexandria database).

Lattice parameters (Å, degrees): 4.2183 4.2183 10.7345 90.00 90.00 120.00
Closest atoms and distances in Å follow each position.
Fractional coordinates of all 12 atoms:
Mg (0.0000, 0.0000, 0.2500)  8 Zn 2.68-2.87, 6 Cu 2.76
Mg (0.0000, 0.0000, 0.7500)  8 Zn 2.68-2.87, 6 Cu 2.76
Zn (0.0000, 0.0000, 0.0000)  2 Mg 2.68, 6 Zn 2.70, 6 Cu 2.80
Zn (0.0000, 0.0000, 0.5000)  2 Mg 2.68, 6 Zn 2.70, 6 Cu 2.80
Zn (0.3333, 0.6667, 0.1088)  4 Cu 2.44-2.55, 3 Zn 2.70
Zn (0.3333, 0.6667, 0.3912)  4 Cu 2.44-2.55, 3 Zn 2.70
Zn (0.6667, 0.3333, 0.6088)  4 Cu 2.44-2.55, 3 Zn 2.70
Zn (0.6667, 0.3333, 0.8912)  4 Cu 2.44-2.55, 3 Zn 2.70
Cu (0.3333, 0.6667, 0.6284)  4 Zn 2.44-2.55, 1 Cu 2.61
Cu (0.3333, 0.6667, 0.8716)  4 Zn 2.44-2.55, 1 Cu 2.61
Cu (0.6667, 0.3333, 0.1284)  4 Zn 2.44-2.55, 1 Cu 2.61
Cu (0.6667, 0.3333, 0.3716)  4 Zn 2.44-2.55, 1 Cu 2.61

Results
* M_tot: 0.0 μB per formula unit
* uncorrected energy: -2.59 eV per atom
* energy of formation from the pure elements: -0.4 eV/f.u.
* ρ: 6.98 Mg/m³

> What is the formula in the sixth record?

MgZn2Cu2